Below is a relaxed structure of NbAlReNi, with properties calculated at the PBE level.

Summary:
- energy (eV/atom) = -7.940

Lattice parameters (Å, degrees): 4.3713 4.3713 4.3713 60.00 60.00 60.00
With the nearest neighbours (Å) after each atom.
Sites, in units of the cell vectors:
1 Nb 0.0000 0.0000 0.0000  4 Re 2.68, 4 Al 2.68
2 Al 0.2500 0.2500 0.2500  4 Nb 2.68, 4 Ni 2.68
3 Re 0.7500 0.7500 0.7500  4 Ni 2.68, 4 Nb 2.68
4 Ni 0.5000 0.5000 0.5000  4 Re 2.68, 4 Al 2.68

***

Below is a relaxed structure of ScNbAlNi, with properties calculated at the PBE level.

Summary:
- distance to the lowest polymorph of the same formula (meV/atom) = 0.0
- energy (eV/atom) = -6.498

Lattice parameters (Å, degrees): 4.5379 4.5379 4.5379 60.00 60.00 60.00
With the nearest neighbours (Å) after each atom.
Sites, in units of the cell vectors:
1 Sc 0.0000 0.0000 0.0000  4 Ni 2.78, 4 Nb 2.78
2 Nb 0.2500 0.2500 0.2500  4 Al 2.78, 4 Sc 2.78
3 Al 0.5000 0.5000 0.5000  4 Nb 2.78, 4 Ni 2.78
4 Ni 0.7500 0.7500 0.7500  4 Sc 2.78, 4 Al 2.78